Entry from Alexandria: Lu3Hf after structural relaxation (PBE-GGA).

Cell: 3.4118 5.9617 6.3496 Å, 118.00 105.58 90.00°
Fractional coordinates of all 4 atoms:
Lu: 0.7437 0.0788 0.4875
Lu: 0.5000 0.4959 0.0000
Lu: 0.2563 0.5914 0.5125
Hf: 0.0000 0.0006 0.0000

## Properties
* DOS at the Fermi energy: 1.69 states/eV per atom
* ΔH_f (0 K): 0.063 eV/atom
* excess energy over the best structure of this formula in the dataset: 0.00 eV per formula unit
* spin magnetization: 0.00 μB/cell
* calculated volume: 27.16 Å³/atom